The following is a DFT calculation (GGA+U) of a geometry-optimized Na12MnO7 structure.

a b c (Å): 7.4455 7.4455 7.4455
angles (deg): 105.68 105.68 105.68
Atoms (fractional coordinates):
1 Na 0.0577 0.1855 0.6728
2 Na 0.1673 0.4335 0.3435
3 Na 0.1855 0.6728 0.0577
4 Na 0.3272 0.9423 0.8145
5 Na 0.3435 0.1673 0.4335
6 Na 0.4335 0.3435 0.1673
7 Na 0.5665 0.6565 0.8327
8 Na 0.6565 0.8327 0.5665
9 Na 0.6728 0.0577 0.1855
10 Na 0.8145 0.3272 0.9423
11 Na 0.8327 0.5665 0.6565
12 Na 0.9423 0.8145 0.3272
13 Mn 0.0000 0.0000 0.0000
14 O 0.0031 0.1330 0.3374
15 O 0.1330 0.3374 0.0031
16 O 0.3374 0.0031 0.1330
17 O 0.5000 0.5000 0.5000
18 O 0.6626 0.9969 0.8670
19 O 0.8670 0.6626 0.9969
20 O 0.9969 0.8670 0.6626

Computed properties:
**M_tot**: 5.0 μB per formula unit
**DOS(E_F)**: 4.743 states/eV/f.u.
**Crystal system**: trigonal
**E**: -4.02 eV/atom